Entry 1:
## TaBeInFe (PBE)

Data for TaBeInFe after structural relaxation.

Properties
Uncorrected energy in eV/atom: -6.557
Distance to the lowest polymorph of the same formula in meV/atom: 0
Total magnetization in μB/f.u.: 0.00

a b c (Å): 6.0879 6.0879 6.0879
angles (deg): 90.00 90.00 90.00
Space group F-43m (No. 216)
Inequivalent atoms, fractional coordinates:
Ta: 0.0000 0.0000 0.0000 [4 per cell]
Be: 0.2500 0.2500 0.7500 [4 per cell]
In: 0.0000 0.0000 0.5000 [4 per cell]
Fe: 0.2500 0.2500 0.2500 [4 per cell]

Entry 2:
## BeInFeTc (PBE)

Data for BeInFeTc after structural relaxation.

Properties
Uncorrected energy in eV/atom: -6.038
Distance to the lowest polymorph of the same formula in meV/atom: 0
Total magnetization in μB/f.u.: 2.42

a b c (Å): 6.0253 6.0253 6.0253
angles (deg): 90.00 90.00 90.00
Space group F-43m (No. 216)
Inequivalent atoms, fractional coordinates:
Be: 0.0000 0.0000 0.0000 [4 per cell]
In: 0.2500 0.2500 0.2500 [4 per cell]
Fe: 0.0000 0.0000 0.5000 [4 per cell]
Tc: 0.2500 0.2500 0.7500 [4 per cell]